## CsCuSb4 (PBE)

Data for an optimized crystal structure of CsCuSb4.

Geometry as CIF:
```
data_CsCuSb4
_chemical_formula_sum 'Cs4 Cu4 Sb16'
_symmetry_space_group_name_H-M 'C 1 2/m 1'
_symmetry_Int_Tables_number 12
_cell_length_a 17.805
_cell_length_b 7.817
_cell_length_c 6.670
_cell_angle_alpha 90.00
_cell_angle_beta 100.60
_cell_angle_gamma 90.00
loop_
_symmetry_equiv_pos_as_xyz
'x,y,z'
'-x,-y,-z'
'-x,y,-z'
'x,-y,z'
'x+1/2,y+1/2,z'
'-x+1/2,-y+1/2,-z'
'-x+1/2,y+1/2,-z'
'x+1/2,-y+1/2,z'
loop_
_atom_site_label
_atom_site_type_symbol
_atom_site_fract_x
_atom_site_fract_y
_atom_site_fract_z
_atom_site_occupancy
Cs1 Cs 0.175 0.000 0.150 1
Cu1 Cu 0.019 0.500 0.334 1
Sb1 Sb 0.000 0.316 0.000 1
Sb2 Sb 0.121 0.319 0.600 1
Sb3 Sb 0.171 0.500 0.256 1
```

Results
Final energy in eV per cell: -85.59
Magnetic moment in μB per cell: 0.00
Volume in Å³/cell: 913
Uncorrected formation energy in kJ/mol of formula units: 3.9

---

## RbCoBr4 (PBE)

Data for an optimized crystal structure of RbCoBr4.

Geometry as CIF:
```
data_RbCoBr4
_chemical_formula_sum 'Rb4 Co4 Br16'
_symmetry_space_group_name_H-M 'I 41/a m d'
_symmetry_Int_Tables_number 141
_cell_length_a 10.903
_cell_length_b 10.903
_cell_length_c 8.755
_cell_angle_alpha 90.00
_cell_angle_beta 90.00
_cell_angle_gamma 90.00
loop_
_symmetry_equiv_pos_as_xyz
'x,y,z'
'-x,-y,-z'
'-y+1/4,x+3/4,z+1/4'
'y+1/4,-x+3/4,-z+1/4'
'-x+1/2,-y,z+1/2'
'x+1/2,y,-z+1/2'
'y+1/4,-x+1/4,z+3/4'
'-y+1/4,x+1/4,-z+3/4'
'x,-y,-z'
'-x,y,z'
'-y+1/4,-x+1/4,-z+3/4'
'y+1/4,x+1/4,z+3/4'
'-x+1/2,y,-z+1/2'
'x+1/2,-y,z+1/2'
'y+1/4,x+3/4,-z+1/4'
'-y+1/4,-x+3/4,z+1/4'
'x+1/2,y+1/2,z+1/2'
'-x+1/2,-y+1/2,-z+1/2'
'-y+3/4,x+1/4,z+3/4'
'y+3/4,-x+1/4,-z+3/4'
'-x,-y+1/2,z'
'x,y+1/2,-z'
'y+3/4,-x+3/4,z+1/4'
'-y+3/4,x+3/4,-z+1/4'
'x+1/2,-y+1/2,-z+1/2'
'-x+1/2,y+1/2,z+1/2'
'-y+3/4,-x+3/4,-z+1/4'
'y+3/4,x+3/4,z+1/4'
'-x,y+1/2,-z'
'x,-y+1/2,z'
'y+3/4,x+1/4,-z+3/4'
'-y+3/4,-x+1/4,z+3/4'
loop_
_atom_site_label
_atom_site_type_symbol
_atom_site_fract_x
_atom_site_fract_y
_atom_site_fract_z
_atom_site_occupancy
Rb1 Rb 0.000 0.250 0.375 1
Co1 Co 0.000 0.250 0.875 1
Br1 Br 0.000 0.077 0.718 1
```

Results
Final energy in eV per cell: -77.51
Energy above the most stable polymorph in this dataset in kJ/mol of formula units: 0
Magnetic moment in μB per cell: 16.00
Volume in Å³/cell: 1041
Uncorrected formation energy in kJ/mol of formula units: -445.1

---

## BeRhAu2 (PBE)

Data for an optimized crystal structure of BeRhAu2.

Geometry as CIF:
```
data_BeRhAu2
_chemical_formula_sum 'Be1 Rh1 Au2'
_symmetry_space_group_name_H-M 'P 4/m m m'
_symmetry_Int_Tables_number 123
_symmetry_space_group_name_Hall '-P 4 2'
_cell_length_a 2.906
_cell_length_b 2.906
_cell_length_c 6.873
_cell_angle_alpha 90.00
_cell_angle_beta 90.00
_cell_angle_gamma 90.00
loop_
_atom_site_label
_atom_site_type_symbol
_atom_site_fract_x
_atom_site_fract_y
_atom_site_fract_z
_atom_site_occupancy
Be1 Be 0.000 0.000 0.000 1
Rh1 Rh 0.000 0.000 0.500 1
Au1 Au 0.500 0.500 0.213 1
```

Results
Final energy in eV per cell: -17.67
Magnetic moment in μB per cell: 0.33
ΔH_f (0 K) in eV per atom: -0.0097
Volume in Å³/cell: 58

---

## NaVZn (PBE)

Data for an optimized crystal structure of NaVZn.

Geometry as CIF:
```
data_NaVZn
_chemical_formula_sum 'Na2 V2 Zn2'
_symmetry_space_group_name_H-M 'P 1'
_symmetry_Int_Tables_number 1
_cell_length_a 4.255
_cell_length_b 5.321
_cell_length_c 6.273
_cell_angle_alpha 65.06
_cell_angle_beta 87.29
_cell_angle_gamma 83.92
loop_
_symmetry_equiv_pos_as_xyz
'x,y,z'
loop_
_atom_site_label
_atom_site_type_symbol
_atom_site_fract_x
_atom_site_fract_y
_atom_site_fract_z
_atom_site_occupancy
Na1 Na 0.000 0.000 0.000 1
Na2 Na 0.495 0.482 0.000 1
V1 V 0.553 0.606 0.458 1
V2 V 0.943 0.417 0.459 1
Zn1 Zn 0.016 0.835 0.563 1
Zn2 Zn 0.480 0.085 0.563 1
```

Results
Final energy in eV per cell: -21.03
Energy above the most stable polymorph in this dataset in kJ/mol of formula units: 76
Magnetic moment in μB per cell: 0.00
ΔH_f (0 K) in eV per atom: 0.3981
Volume in Å³/cell: 128